Entry from Alexandria: an optimized crystal structure of TiReTe2 (GGA-PBE).

```
data_TiReTe2
_chemical_formula_sum 'Ti3 Re3 Te6'
_space_group_name_H-M_alt 'R -3 m'
_space_group_IT_number 166
_space_group_name_Hall '-R 3 2"'
_cell_length_a 3.2651
_cell_length_b 3.2651
_cell_length_c 27.3780
_cell_angle_alpha 90.00
_cell_angle_beta 90.00
_cell_angle_gamma 120.00
loop_
_atom_site_label
_atom_site_fract_x
_atom_site_fract_y
_atom_site_fract_z
Ti1 0.0000 0.0000 0.0000
Re1 0.0000 0.0000 0.5000
Te1 0.0000 0.0000 0.4059
```

Values from the calculation:
Polymorph energy (0 for the lowest one) in meV per atom: 186
M_tot in μB/f.u.: 0.0
Uncorrected formation energy in meV per atom: 446